A plane-wave DFT calculation with PBE was carried out for KSrAl2 after structural relaxation.

abc: 4.6082 5.2643 6.4880
angles: 66.13 90.00 90.00
With the nearest neighbours (Å) after each atom.
Positions (direct):
Sr1 0.5000 0.7653 0.8444  7 Al 3.43-3.74
K1 0.0000 0.4763 0.4225  7 Al 3.54-3.71
Al1 0.0000 0.1777 0.0187  2 Al 2.58
Al2 0.5000 0.0807 0.2144  2 Al 2.58

Formation energy, eV/f.u.: 0.33
Offset from the most stable computed form, eV/atom: 0.000